(1)
Below is a relaxed structure of RbHfSn2Br, with properties calculated at the PBE level.

Computed properties:
The value obtained for the final energy is -21.64 eV/cell.

```
data_RbHfSn2Br
_chemical_formula_sum 'Rb1 Hf1 Sn2 Br1'
_symmetry_space_group_name_H-M 'P 1'
_symmetry_Int_Tables_number 1
_cell_length_a 5.628
_cell_length_b 5.628
_cell_length_c 5.626
_cell_angle_alpha 90.00
_cell_angle_beta 90.00
_cell_angle_gamma 90.00
loop_
_symmetry_equiv_pos_as_xyz
'x,y,z'
loop_
_atom_site_label
_atom_site_type_symbol
_atom_site_fract_x
_atom_site_fract_y
_atom_site_fract_z
Rb1 Rb 0.000 0.000 0.000
Hf1 Hf 0.500 0.500 0.500
Sn1 Sn 0.000 0.500 0.500
Sn2 Sn 0.500 0.000 0.500
Br1 Br 0.500 0.500 0.000
```



(2)
Below is a relaxed structure of Sr2TeCl, with properties calculated at the PBE level.

Computed properties:
Its energy above the most stable polymorph in this dataset is 110 meV per atom.

```
data_Sr2TeCl
_chemical_formula_sum 'Sr2 Te1 Cl1'
_symmetry_space_group_name_H-M 'P 1'
_symmetry_Int_Tables_number 1
_cell_length_a 4.154
_cell_length_b 4.275
_cell_length_c 7.821
_cell_angle_alpha 90.00
_cell_angle_beta 92.19
_cell_angle_gamma 90.00
loop_
_symmetry_equiv_pos_as_xyz
'x,y,z'
loop_
_atom_site_label
_atom_site_type_symbol
_atom_site_fract_x
_atom_site_fract_y
_atom_site_fract_z
Sr1 Sr 0.022 0.000 0.241
Sr2 Sr 0.978 0.000 0.759
Te1 Te 0.500 0.500 0.000
Cl1 Cl 0.000 0.500 0.500
```



(3)
Below is a relaxed structure of Mg7Cd3Ag, with properties calculated at the PBE level.

Computed properties:
Its energy above the most stable polymorph in this dataset is 70 meV per atom. The value obtained for the energy of formation is 5 meV per atom.

```
data_Mg7Cd3Ag
_chemical_formula_sum 'Mg7 Cd3 Ag1'
_symmetry_space_group_name_H-M 'P 1'
_symmetry_Int_Tables_number 1
_cell_length_a 7.422
_cell_length_b 7.422
_cell_length_c 5.243
_cell_angle_alpha 110.43
_cell_angle_beta 110.43
_cell_angle_gamma 88.55
loop_
_symmetry_equiv_pos_as_xyz
'x,y,z'
loop_
_atom_site_label
_atom_site_type_symbol
_atom_site_fract_x
_atom_site_fract_y
_atom_site_fract_z
Mg1 Mg 0.000 0.000 0.000
Mg2 Mg 0.096 0.569 0.333
Mg3 Mg 0.303 0.303 0.820
Mg4 Mg 0.431 0.904 0.667
Mg5 Mg 0.569 0.096 0.333
Mg6 Mg 0.697 0.697 0.180
Mg7 Mg 0.904 0.431 0.667
Cd1 Cd 0.277 0.723 0.000
Cd2 Cd 0.500 0.500 0.500
Cd3 Cd 0.723 0.277 0.000
Ag1 Ag 0.000 0.000 0.500
```



(4)
Below is a relaxed structure of SrCa2La, with properties calculated at the PBE level.

Computed properties:
Its energy above the most stable polymorph in this dataset is 32 meV per atom. The value obtained for the energy of formation is 96 meV per atom.

```
data_SrCa2La
_chemical_formula_sum 'Sr1 Ca2 La1'
_symmetry_space_group_name_H-M 'P 1'
_symmetry_Int_Tables_number 1
_cell_length_a 3.766
_cell_length_b 6.293
_cell_length_c 7.314
_cell_angle_alpha 90.00
_cell_angle_beta 99.52
_cell_angle_gamma 90.00
loop_
_symmetry_equiv_pos_as_xyz
'x,y,z'
loop_
_atom_site_label
_atom_site_type_symbol
_atom_site_fract_x
_atom_site_fract_y
_atom_site_fract_z
Sr1 Sr 0.000 0.000 0.000
Ca1 Ca 0.541 0.000 0.505
Ca2 Ca 0.731 0.500 0.250
La1 La 0.248 0.500 0.737
```



(5)
Below is a relaxed structure of SnO2F2, with properties calculated at the PBE level.

Computed properties:
Its energy above the most stable polymorph in this dataset is 97 meV per atom.

```
data_SnO2F2
_chemical_formula_sum 'Sn2 O4 F4'
_symmetry_space_group_name_H-M 'P 1'
_symmetry_Int_Tables_number 1
_cell_length_a 5.867
_cell_length_b 5.867
_cell_length_c 3.593
_cell_angle_alpha 90.00
_cell_angle_beta 90.00
_cell_angle_gamma 90.00
loop_
_symmetry_equiv_pos_as_xyz
'x,y,z'
loop_
_atom_site_label
_atom_site_type_symbol
_atom_site_fract_x
_atom_site_fract_y
_atom_site_fract_z
Sn1 Sn 0.000 0.000 0.000
Sn2 Sn 0.500 0.500 0.000
O1 O 0.076 0.424 0.000
O2 O 0.424 0.924 0.000
O3 O 0.576 0.076 0.000
O4 O 0.924 0.576 0.000
F1 F 0.234 0.734 0.500
F2 F 0.266 0.234 0.500
F3 F 0.734 0.766 0.500
F4 F 0.766 0.266 0.500
```



(6)
Below is a relaxed structure of Rb2HfMgP, with properties calculated at the PBE level.

Computed properties:
The value obtained for the energy of formation is 849 meV per atom.

```
data_Rb2HfMgP
_chemical_formula_sum 'Rb2 Hf1 Mg1 P1'
_symmetry_space_group_name_H-M 'P 1'
_symmetry_Int_Tables_number 1
_cell_length_a 6.897
_cell_length_b 6.897
_cell_length_c 4.681
_cell_angle_alpha 90.00
_cell_angle_beta 90.00
_cell_angle_gamma 90.00
loop_
_symmetry_equiv_pos_as_xyz
'x,y,z'
loop_
_atom_site_label
_atom_site_type_symbol
_atom_site_fract_x
_atom_site_fract_y
_atom_site_fract_z
Rb1 Rb 0.000 0.500 0.000
Rb2 Rb 0.500 0.000 0.000
Hf1 Hf 0.000 0.000 0.500
Mg1 Mg 0.500 0.500 0.500
P1 P 0.500 0.500 0.000
```



(7)
Below is a relaxed structure of K2SrTc, with properties calculated at the PBE level.

Computed properties:
Its energy above the most stable polymorph in this dataset is 320 meV per atom. The value obtained for the energy of formation is 1184 meV per atom.

```
data_K2SrTc
_chemical_formula_sum 'K4 Sr2 Tc2'
_symmetry_space_group_name_H-M 'P 1'
_symmetry_Int_Tables_number 1
_cell_length_a 5.287
_cell_length_b 5.307
_cell_length_c 12.171
_cell_angle_alpha 90.00
_cell_angle_beta 90.00
_cell_angle_gamma 90.00
loop_
_symmetry_equiv_pos_as_xyz
'x,y,z'
loop_
_atom_site_label
_atom_site_type_symbol
_atom_site_fract_x
_atom_site_fract_y
_atom_site_fract_z
K1 K 0.000 0.000 0.193
K2 K 0.000 0.000 0.807
K3 K 0.500 0.500 0.193
K4 K 0.500 0.500 0.807
Sr1 Sr 0.000 0.500 0.500
Sr2 Sr 0.500 0.000 0.500
Tc1 Tc 0.000 0.500 0.000
Tc2 Tc 0.500 0.000 0.000
```



(8)
Below is a relaxed structure of Er2URu3, with properties calculated at the PBE level.

Computed properties:
Its energy above the most stable polymorph in this dataset is 0 meV per atom. The value obtained for the energy of formation is -427 meV per atom.

```
data_Er2URu3
_chemical_formula_sum 'Er4 U2 Ru6'
_symmetry_space_group_name_H-M 'P 1'
_symmetry_Int_Tables_number 1
_cell_length_a 7.502
_cell_length_b 7.502
_cell_length_c 6.779
_cell_angle_alpha 90.13
_cell_angle_beta 90.13
_cell_angle_gamma 142.53
loop_
_symmetry_equiv_pos_as_xyz
'x,y,z'
loop_
_atom_site_label
_atom_site_type_symbol
_atom_site_fract_x
_atom_site_fract_y
_atom_site_fract_z
Er1 Er 0.000 0.000 0.000
Er2 Er 0.000 0.000 0.500
Er3 Er 0.335 0.665 0.000
Er4 Er 0.665 0.335 0.000
U1 U 0.334 0.666 0.500
U2 U 0.666 0.334 0.500
Ru1 Ru 0.170 0.825 0.727
Ru2 Ru 0.175 0.830 0.273
Ru3 Ru 0.500 0.500 0.269
Ru4 Ru 0.500 0.500 0.731
Ru5 Ru 0.825 0.170 0.727
Ru6 Ru 0.830 0.175 0.273
```